No. 1
This record from OQMD via LeMat-Bulk describes a relaxed Y2HoTm crystal. The functional is GGA-PBE.

Calculated values
The total energy comes out at -43.94 eV per cell. Its calculated formation energy is 0.003 eV per atom. The space group is Ama2, No. 40.

abc: 5.605 7.225 7.225
angles: 119.97 90.00 90.00
Sites, in units of the cell vectors:
Y 0.250 0.083 0.917
Y 0.250 0.581 0.915
Y 0.750 0.915 0.581
Y 0.750 0.917 0.083
Ho 0.250 0.083 0.415
Ho 0.750 0.415 0.083
Tm 0.250 0.581 0.415
Tm 0.750 0.415 0.581

---

No. 2
This record from OQMD via LeMat-Bulk describes a relaxed HoTmZn crystal. The functional is GGA-PBE.

Calculated values
The total energy comes out at -10.27 eV per cell. Its calculated formation energy is 0.014 eV per atom. The space group is F-43m, No. 216. For the energy above the most stable polymorph in this dataset, the calculation gives 0.255 eV per atom.

abc: 4.885 4.885 4.885
angles: 60.00 60.00 60.00
Sites, in units of the cell vectors:
Ho 0.000 0.000 0.000
Tm 0.500 0.500 0.500
Zn 0.250 0.250 0.250

---

No. 3
This record from OQMD via LeMat-Bulk describes a relaxed HoTmZn crystal. The functional is GGA-PBE.

Calculated values
The total energy comes out at -44.16 eV per cell. Its calculated formation energy is -0.241 eV per atom. The space group is Pnma, No. 62. For the energy above the most stable polymorph in this dataset, the calculation gives 0.000 eV per atom.

abc: 6.683 4.962 8.959
angles: 90.00 90.00 90.00
Sites, in units of the cell vectors:
Ho 0.168 0.250 0.076
Ho 0.332 0.750 0.576
Ho 0.668 0.250 0.424
Ho 0.832 0.750 0.924
Tm 0.016 0.250 0.694
Tm 0.484 0.750 0.194
Tm 0.516 0.250 0.806
Tm 0.984 0.750 0.306
Zn 0.227 0.250 0.400
Zn 0.273 0.750 0.900
Zn 0.727 0.250 0.100
Zn 0.773 0.750 0.600

---

No. 4
This record from OQMD via LeMat-Bulk describes a relaxed HoTmZr crystal. The functional is GGA-PBE.

Calculated values
The total energy comes out at -14.80 eV per cell. Its calculated formation energy is 0.934 eV per atom. The space group is F-43m, No. 216. For the energy above the most stable polymorph in this dataset, the calculation gives 0.000 eV per atom.

abc: 5.135 5.135 5.135
angles: 60.00 60.00 60.00
Sites, in units of the cell vectors:
Ho 0.000 0.000 0.000
Tm 0.250 0.250 0.250
Zr 0.500 0.500 0.500

---

No. 5
This record from OQMD via LeMat-Bulk describes a relaxed HoU2 crystal. The functional is GGA-PBE.

Calculated values
The total energy comes out at -33.38 eV per cell. Its calculated formation energy is 3.493 eV per atom. The space group is Fd-3m, No. 227.

abc: 8.322 8.322 8.322
angles: 60.00 60.00 60.00
Sites, in units of the cell vectors:
Ho 0.125 0.125 0.125
Ho 0.875 0.875 0.875
U 0.000 0.000 0.000
U 0.000 0.000 0.500
U 0.000 0.500 0.000
U 0.500 0.000 0.000

---

No. 6
This record from OQMD via LeMat-Bulk describes a relaxed HoUZn crystal. The functional is GGA-PBE.

Calculated values
The total energy comes out at -15.23 eV per cell. Its calculated formation energy is 0.635 eV per atom. The space group is F-43m, No. 216. For the energy above the most stable polymorph in this dataset, the calculation gives 0.000 eV per atom.

abc: 4.843 4.843 4.843
angles: 60.00 60.00 60.00
Sites, in units of the cell vectors:
Ho 0.000 0.000 0.000
U 0.500 0.500 0.500
Zn 0.250 0.250 0.250

---

No. 7
This record from OQMD via LeMat-Bulk describes a relaxed HoZrU crystal. The functional is GGA-PBE.

Calculated values
The total energy comes out at -20.58 eV per cell. Its calculated formation energy is 1.280 eV per atom. The space group is F-43m, No. 216. For the energy above the most stable polymorph in this dataset, the calculation gives 0.000 eV per atom.

abc: 5.020 5.020 5.020
angles: 60.00 60.00 60.00
Sites, in units of the cell vectors:
Ho 0.000 0.000 0.000
Zr 0.500 0.500 0.500
U 0.750 0.750 0.750

---

No. 8
This record from OQMD via LeMat-Bulk describes a relaxed Ho2W crystal. The functional is GGA-PBE.

Calculated values
The total energy comes out at -30.33 eV per cell. Its calculated formation energy is 2.316 eV per atom. The space group is Fd-3m, No. 227. For the energy above the most stable polymorph in this dataset, the calculation gives 1.031 eV per atom.

abc: 8.349 8.349 8.349
angles: 60.00 60.00 60.00
Sites, in units of the cell vectors:
Ho 0.000 0.000 0.000
Ho 0.000 0.000 0.500
Ho 0.000 0.500 0.000
Ho 0.500 0.000 0.000
W 0.125 0.125 0.125
W 0.875 0.875 0.875

---

No. 9
This record from OQMD via LeMat-Bulk describes a relaxed Ho2W crystal. The functional is GGA-PBE.

Calculated values
The total energy comes out at -36.51 eV per cell. Its calculated formation energy is 1.285 eV per atom. The space group is Fd-3m, No. 227. For the energy above the most stable polymorph in this dataset, the calculation gives 0.000 eV per atom.

abc: 5.841 5.841 5.841
angles: 60.00 60.00 60.00
Sites, in units of the cell vectors:
Ho 0.000 0.000 0.000
Ho 0.000 0.000 0.500
Ho 0.000 0.500 0.000
Ho 0.500 0.000 0.000
W 0.375 0.375 0.375
W 0.625 0.625 0.625

---

No. 10
This record from OQMD via LeMat-Bulk describes a relaxed YHoW crystal. The functional is GGA-PBE.

Calculated values
The total energy comes out at -21.41 eV per cell. Its calculated formation energy is 0.865 eV per atom. The space group is F-43m, No. 216. For the energy above the most stable polymorph in this dataset, the calculation gives 0.000 eV per atom.

abc: 4.871 4.871 4.871
angles: 60.00 60.00 60.00
Sites, in units of the cell vectors:
Y 0.000 0.000 0.000
Ho 0.500 0.500 0.500
W 0.750 0.750 0.750

---

No. 11
This record from OQMD via LeMat-Bulk describes a relaxed HoZnW crystal. The functional is GGA-PBE.

Calculated values
The total energy comes out at -14.49 eV per cell. Its calculated formation energy is 1.439 eV per atom. The space group is F-43m, No. 216. For the energy above the most stable polymorph in this dataset, the calculation gives 0.653 eV per atom.

abc: 4.703 4.703 4.703
angles: 60.00 60.00 60.00
Sites, in units of the cell vectors:
Ho 0.000 0.000 0.000
Zn 0.250 0.250 0.250
W 0.750 0.750 0.750

---

No. 12
This record from OQMD via LeMat-Bulk describes a relaxed HoZnW crystal. The functional is GGA-PBE.

Calculated values
The total energy comes out at -16.44 eV per cell. Its calculated formation energy is 0.786 eV per atom. The space group is F-43m, No. 216. For the energy above the most stable polymorph in this dataset, the calculation gives 0.000 eV per atom.

abc: 4.476 4.476 4.476
angles: 60.00 60.00 60.00
Sites, in units of the cell vectors:
Ho 0.000 0.000 0.000
Zn 0.250 0.250 0.250
W 0.500 0.500 0.500

---

No. 13
This record from OQMD via LeMat-Bulk describes a relaxed HoZrW crystal. The functional is GGA-PBE.

Calculated values
The total energy comes out at -24.01 eV per cell. Its calculated formation energy is 0.691 eV per atom. The space group is F-43m, No. 216. For the energy above the most stable polymorph in this dataset, the calculation gives 0.000 eV per atom.

abc: 4.706 4.706 4.706
angles: 60.00 60.00 60.00
Sites, in units of the cell vectors:
Ho 0.000 0.000 0.000
Zr 0.500 0.500 0.500
W 0.250 0.250 0.250

---

No. 14
This record from OQMD via LeMat-Bulk describes a relaxed YHo crystal. The functional is GGA-PBE.

Calculated values
The total energy comes out at -7.10 eV per cell. Its calculated formation energy is 1.973 eV per atom. The space group is F-43m, No. 216. For the energy above the most stable polymorph in this dataset, the calculation gives 1.970 eV per atom.

abc: 4.876 4.876 4.876
angles: 60.00 60.00 60.00
Sites, in units of the cell vectors:
Y 0.000 0.000 0.000
Ho 0.250 0.250 0.250

---

No. 15
This record from OQMD via LeMat-Bulk describes a relaxed YHo2 crystal. The functional is GGA-PBE.

Calculated values
The total energy comes out at -29.82 eV per cell. Its calculated formation energy is 0.236 eV per atom. The space group is Fd-3m, No. 227. For the energy above the most stable polymorph in this dataset, the calculation gives 0.000 eV per atom.

abc: 6.527 6.527 6.527
angles: 60.00 60.00 60.00
Sites, in units of the cell vectors:
Y 0.125 0.125 0.125
Y 0.875 0.875 0.875
Ho 0.000 0.500 0.500
Ho 0.500 0.000 0.500
Ho 0.500 0.500 0.000
Ho 0.500 0.500 0.500

---

No. 16
This record from OQMD via LeMat-Bulk describes a relaxed YHo crystal. The functional is GGA-PBE.

Calculated values
The total energy comes out at -44.14 eV per cell. Its calculated formation energy is 0.003 eV per atom. The space group is Ama2, No. 40. For the energy above the most stable polymorph in this dataset, the calculation gives 0.000 eV per atom.

abc: 5.622 7.242 7.242
angles: 119.97 90.00 90.00
Sites, in units of the cell vectors:
Y 0.250 0.084 0.916
Y 0.250 0.085 0.419
Y 0.750 0.419 0.085
Y 0.750 0.916 0.084
Ho 0.250 0.584 0.917
Ho 0.250 0.585 0.419
Ho 0.750 0.419 0.585
Ho 0.750 0.917 0.584

---

No. 17
This record from OQMD via LeMat-Bulk describes a relaxed YHo7 crystal. The functional is GGA-PBE.

Calculated values
The total energy comes out at -38.48 eV per cell. Its calculated formation energy is 0.003 eV per atom. The space group is P-6m2, No. 187.

abc: 7.209 7.209 5.601
angles: 90.00 90.00 120.00
Sites, in units of the cell vectors:
Y 0.000 0.000 0.000
Ho 0.333 0.667 0.500
Ho 0.335 0.168 0.500
Ho 0.501 0.002 0.000
Ho 0.501 0.499 0.000
Ho 0.832 0.168 0.500
Ho 0.832 0.665 0.500
Ho 0.998 0.499 0.000

---

No. 18
This record from OQMD via LeMat-Bulk describes a relaxed YHo crystal. The functional is GGA-PBE.

Calculated values
The total energy comes out at -44.15 eV per cell. Its calculated formation energy is 0.003 eV per atom. The space group is Amm2, No. 38. For the energy above the most stable polymorph in this dataset, the calculation gives 0.000 eV per atom.

abc: 5.629 7.250 7.250
angles: 60.00 90.00 90.00
Sites, in units of the cell vectors:
Y 0.000 0.000 0.000
Y 0.000 0.001 0.500
Y 0.000 0.500 0.001
Y 0.500 0.667 0.667
Ho 0.000 0.500 0.500
Ho 0.500 0.167 0.167
Ho 0.500 0.167 0.666
Ho 0.500 0.666 0.167

---

No. 19
This record from OQMD via LeMat-Bulk describes a relaxed YHo2 crystal. The functional is GGA-PBE.

Calculated values
The total energy comes out at -16.15 eV per cell. Its calculated formation energy is 2.514 eV per atom. The space group is Fd-3m, No. 227. For the energy above the most stable polymorph in this dataset, the calculation gives 2.277 eV per atom.

abc: 10.119 10.119 10.119
angles: 60.00 60.00 60.00
Sites, in units of the cell vectors:
Y 0.125 0.125 0.125
Y 0.875 0.875 0.875
Ho 0.000 0.000 0.000
Ho 0.000 0.000 0.500
Ho 0.000 0.500 0.000
Ho 0.500 0.000 0.000

---

No. 20
This record from OQMD via LeMat-Bulk describes a relaxed YHo crystal. The functional is GGA-PBE.

Calculated values
The total energy comes out at -11.04 eV per cell. Its calculated formation energy is 0.003 eV per atom. The space group is P-6m2, No. 187. For the energy above the most stable polymorph in this dataset, the calculation gives 0.000 eV per atom.

abc: 3.614 3.614 5.662
angles: 90.00 90.00 120.00
Sites, in units of the cell vectors:
Y 0.000 0.000 0.000
Ho 0.333 0.667 0.500

---

No. 21
This record from OQMD via LeMat-Bulk describes a relaxed YHo crystal. The functional is GGA-PBE.

Calculated values
The total energy comes out at -9.46 eV per cell. Its calculated formation energy is 0.793 eV per atom. The space group is Fm-3m, No. 225. For the energy above the most stable polymorph in this dataset, the calculation gives 0.790 eV per atom.

abc: 4.593 4.593 4.593
angles: 60.00 60.00 60.00
Sites, in units of the cell vectors:
Y 0.000 0.000 0.000
Ho 0.500 0.500 0.500

---

No. 22
This record from OQMD via LeMat-Bulk describes a relaxed Ho3Zn11 crystal. The functional is GGA-PBE.

Calculated values
The total energy comes out at -32.26 eV per cell. Its calculated formation energy is -0.330 eV per atom. The space group is Immm, No. 71.

abc: 8.074 8.074 8.074
angles: 148.99 112.41 76.21
Sites, in units of the cell vectors:
Ho 0.000 0.000 0.000
Ho 0.295 0.295 0.000
Ho 0.705 0.705 0.000
Zn 0.021 0.659 0.362
Zn 0.143 0.862 0.281
Zn 0.297 0.659 0.638
Zn 0.313 0.500 0.813
Zn 0.418 0.138 0.281
Zn 0.500 0.000 0.500
Zn 0.582 0.862 0.719
Zn 0.687 0.500 0.187
Zn 0.703 0.341 0.362
Zn 0.857 0.138 0.719
Zn 0.979 0.341 0.638

---

No. 23
This record from OQMD via LeMat-Bulk describes a relaxed HoZn crystal. The functional is GGA-PBE.

Calculated values
The total energy comes out at -25.80 eV per cell. Its calculated formation energy is -0.304 eV per atom. The space group is Pnma, No. 62.

abc: 6.642 4.547 6.012
angles: 90.00 90.00 90.00
Sites, in units of the cell vectors:
Ho 0.162 0.250 0.133
Ho 0.338 0.750 0.633
Ho 0.662 0.250 0.367
Ho 0.838 0.750 0.867
Zn 0.051 0.250 0.629
Zn 0.449 0.750 0.129
Zn 0.551 0.250 0.871
Zn 0.949 0.750 0.371

---

No. 24
This record from OQMD via LeMat-Bulk describes a relaxed Ho3Zn4 crystal. The functional is GGA-PBE.

Calculated values
The total energy comes out at -38.92 eV per cell. Its calculated formation energy is -0.096 eV per atom. The space group is P6_3/m, No. 176. For the energy above the most stable polymorph in this dataset, the calculation gives 0.102 eV per atom.

abc: 8.257 8.257 5.103
angles: 90.00 90.00 120.00
Sites, in units of the cell vectors:
Ho 0.083 0.802 0.250
Ho 0.198 0.281 0.250
Ho 0.281 0.083 0.750
Ho 0.719 0.917 0.250
Ho 0.802 0.719 0.750
Ho 0.917 0.198 0.750
Zn 0.118 0.621 0.750
Zn 0.333 0.667 0.250
Zn 0.379 0.496 0.750
Zn 0.496 0.118 0.250
Zn 0.504 0.882 0.750
Zn 0.621 0.504 0.250
Zn 0.667 0.333 0.750
Zn 0.882 0.379 0.250

---

No. 25
This record from OQMD via LeMat-Bulk describes a relaxed HoZn crystal. The functional is GGA-PBE.

Calculated values
The total energy comes out at -37.73 eV per cell. Its calculated formation energy is -0.223 eV per atom. The space group is Pmc2_1, No. 26.

abc: 4.779 9.150 6.253
angles: 90.00 90.00 90.00
Sites, in units of the cell vectors:
Ho 0.000 0.029 0.000
Ho 0.000 0.350 0.674
Ho 0.000 0.650 0.174
Ho 0.000 0.971 0.500
Ho 0.500 0.212 0.293
Ho 0.500 0.788 0.793
Zn 0.000 0.342 0.157
Zn 0.000 0.658 0.657
Zn 0.500 0.138 0.755
Zn 0.500 0.464 0.960
Zn 0.500 0.536 0.460
Zn 0.500 0.862 0.255

---

No. 26
This record from OQMD via LeMat-Bulk describes a relaxed HoZn2 crystal. The functional is GGA-PBE.

Calculated values
The total energy comes out at -16.25 eV per cell. Its calculated formation energy is -0.340 eV per atom. The space group is Fd-3m, No. 227.

abc: 5.421 5.421 5.421
angles: 60.00 60.00 60.00
Sites, in units of the cell vectors:
Ho 0.125 0.125 0.125
Ho 0.875 0.875 0.875
Zn 0.000 0.500 0.500
Zn 0.500 0.000 0.500
Zn 0.500 0.500 0.000
Zn 0.500 0.500 0.500

---

No. 27
This record from OQMD via LeMat-Bulk describes a relaxed HoZn crystal. The functional is GGA-PBE.

Calculated values
The total energy comes out at -30.24 eV per cell. Its calculated formation energy is -0.103 eV per atom. The space group is Amm2, No. 38.

abc: 5.192 8.345 8.345
angles: 141.60 90.00 90.00
Sites, in units of the cell vectors:
Ho 0.000 0.000 0.000
Ho 0.000 0.418 0.641
Ho 0.000 0.641 0.418
Ho 0.500 0.016 0.249
Ho 0.500 0.249 0.016
Zn 0.000 0.200 0.802
Zn 0.000 0.802 0.200
Zn 0.500 0.451 0.844
Zn 0.500 0.644 0.644
Zn 0.500 0.844 0.451